one:
A plane-wave DFT calculation with PBE was carried out for a relaxed YTlCl crystal.

Cell: 4.3146 4.3146 8.5667 Å, 90.00 90.00 90.00°
With the nearest neighbours (Å) after each atom.
Space group P4/nmm (No. 129, origin choice 2)
Inequivalent atoms, fractional coordinates:
Y 0.2500 0.2500 0.2126 (multiplicity 2)  4 Cl 2.82
Tl 0.2500 0.2500 0.5847 (multiplicity 2)  5 Y 3.19-3.51, 4 Tl 3.38
Cl 0.2500 0.7500 0.0000 (multiplicity 2)  4 Y 2.82, 4 Cl 3.05

Results
- size of the total moment (μB per formula unit) = 0.0
- crystal system = tetragonal

two:
A plane-wave DFT calculation with PBE was carried out for a relaxed YTlCl crystal.

Cell: 7.1450 7.1450 7.1450 Å, 90.00 90.00 90.00°
With the nearest neighbours (Å) after each atom.
Space group F-43m (No. 216)
Inequivalent atoms, fractional coordinates:
Y 0.0000 0.0000 0.0000 (multiplicity 4)  4 Tl 3.09, 4 Cl 3.09
Tl 0.2500 0.2500 0.7500 (multiplicity 4)  4 Y 3.09
Cl 0.2500 0.2500 0.2500 (multiplicity 4)  4 Y 3.09

Results
- size of the total moment (μB per formula unit) = 0.0
- crystal system = cubic

Most stable to least stable, the ends of the list are one and two.

one:
A plane-wave DFT calculation with PBE was carried out for a relaxed YTlCl crystal.

Cell: 4.7985 4.7985 4.0702 Å, 90.00 90.00 120.00°
With the nearest neighbours (Å) after each atom.
Space group P-6m2 (No. 187)
Inequivalent atoms, fractional coordinates:
Y 0.0000 0.0000 0.0000 (multiplicity 1)  3 Cl 2.77
Tl 0.3333 0.6667 0.5000 (multiplicity 1)  6 Y 3.44, 6 Cl 3.44
Cl 0.6667 0.3333 0.0000 (multiplicity 1)  3 Y 2.77

Results
- size of the total moment (μB per formula unit) = 0.0
- crystal system = hexagonal

two:
A plane-wave DFT calculation with PBE was carried out for a relaxed YTlCl crystal.

Cell: 3.7406 6.2583 16.2747 Å, 90.00 90.00 90.00°
With the nearest neighbours (Å) after each atom.
Space group Fmm2 (No. 42)
Inequivalent atoms, fractional coordinates:
Y 0.0000 0.0000 0.0000 (multiplicity 4)  2 Cl 2.69
Tl 0.0000 0.0000 0.3414 (multiplicity 4)  2 Y 3.19
Cl 0.0000 0.0000 0.6186 (multiplicity 4)  2 Y 2.69

Results
- size of the total moment (μB per formula unit) = 0.0
- crystal system = orthorhombic

Most stable to least stable, the ends of the list are two and one.

one:
A plane-wave DFT calculation with PBE was carried out for a relaxed YTlCl4 crystal.

Cell: 16.4818 6.6790 7.3704 Å, 90.00 104.73 90.00°
With the nearest neighbours (Å) after each atom.
Space group C2/c (No. 15)
Inequivalent atoms, fractional coordinates:
Y 0.2500 0.2500 0.0000 (multiplicity 4)  6 Cl 2.60-2.70
Tl 0.0000 0.2504 0.2500 (multiplicity 4)  4 Cl 3.07-3.18
Cl 0.0995 0.1063 0.9565 (multiplicity 8)  1 Y 2.60
Cl 0.1958 0.4343 0.6652 (multiplicity 8)  2 Y 2.70

Results
- size of the total moment (μB per formula unit) = 0.0
- crystal system = monoclinic

two:
A plane-wave DFT calculation with PBE was carried out for a relaxed YTlCl4 crystal.

Cell: 8.4386 8.4386 8.4386 Å, 90.00 90.00 90.00°
With the nearest neighbours (Å) after each atom.
Space group F-43m (No. 216)
Inequivalent atoms, fractional coordinates:
Y 0.0000 0.0000 0.0000 (multiplicity 4)  12 Cl 3.50, 4 Tl 3.65
Tl 0.2500 0.2500 0.2500 (multiplicity 4)  12 Cl 3.50, 4 Y 3.65
Cl 0.1256 0.1256 0.6256 (multiplicity 16)  6 Cl 2.97-3.00

Results
- size of the total moment (μB per formula unit) = 0.0
- crystal system = cubic

three:
A plane-wave DFT calculation with PBE was carried out for a relaxed YTlCl4 crystal.

Cell: 9.7194 14.9691 6.7323 Å, 90.00 123.98 90.00°
With the nearest neighbours (Å) after each atom.
Space group C2/c (No. 15)
Inequivalent atoms, fractional coordinates:
Y 0.0000 0.0820 0.2500 (multiplicity 4)  6 Cl 2.58-2.77
Tl 0.0000 0.3424 0.7500 (multiplicity 4)  4 Cl 3.18
Cl 0.1569 0.2040 0.1808 (multiplicity 8)  1 Y 2.58
Cl 0.1969 0.0421 0.7162 (multiplicity 8)  2 Y 2.67-2.77

Results
- size of the total moment (μB per formula unit) = 0.0
- crystal system = monoclinic

Most stable to least stable, the ends of the list are three and two.

one:
A plane-wave DFT calculation with PBE was carried out for a relaxed TlZnCl3 crystal.

Cell: 7.4487 7.4487 22.8195 Å, 90.00 90.00 120.00°
With the nearest neighbours (Å) after each atom.
Space group R-3c (No. 167, hexagonal axes)
Inequivalent atoms, fractional coordinates:
Tl 0.0000 0.0000 0.0000 (multiplicity 6)  6 Cl 3.25
Zn 0.0000 0.0000 0.2500 (multiplicity 6)  3 Cl 2.21
Cl 0.0000 0.2962 0.2500 (multiplicity 18)  1 Zn 2.21

Results
- size of the total moment (μB per formula unit) = 0.0
- crystal system = trigonal

two:
A plane-wave DFT calculation with PBE was carried out for a relaxed TlZnCl3 crystal.

Cell: 5.6346 5.6346 5.4247 Å, 90.00 90.00 90.00°
With the nearest neighbours (Å) after each atom.
Space group P4mm (No. 99)
Inequivalent atoms, fractional coordinates:
Tl 0.0000 0.0000 0.0000 (multiplicity 1)  6 Cl 2.71-2.82
Zn 0.5000 0.5000 0.0035 (multiplicity 1)  4 Cl 2.82
Cl 0.0000 0.0000 0.5008 (multiplicity 1)  2 Tl 2.71-2.72
Cl 0.0000 0.5000 0.0036 (multiplicity 2)  2 Zn 2.82, 2 Tl 2.82

Results
- size of the total moment (μB per formula unit) = 0.0
- crystal system = tetragonal

three:
A plane-wave DFT calculation with PBE was carried out for a relaxed TlZnCl3 crystal.

Cell: 6.4915 7.4553 7.6121 Å, 108.39 106.24 93.96°
With the nearest neighbours (Å) after each atom.
Space group P-1 (No. 2)
Inequivalent atoms, fractional coordinates:
Tl 0.1630 0.1661 0.3353 (multiplicity 2)  4 Cl 3.02-3.30
Zn 0.4372 0.7106 0.0910 (multiplicity 2)  4 Cl 2.25-2.38
Cl 0.0923 0.7586 0.0565 (multiplicity 2)  1 Zn 2.25
Cl 0.3315 0.0156 0.7062 (multiplicity 2)  1 Zn 2.26
Cl 0.4819 0.5444 0.7893 (multiplicity 2)  2 Zn 2.35-2.38

Results
- size of the total moment (μB per formula unit) = 0.0
- crystal system = triclinic

four:
A plane-wave DFT calculation with PBE was carried out for a relaxed TlZnCl3 crystal.

Cell: 4.6553 4.6553 17.1831 Å, 90.00 90.00 120.00°
With the nearest neighbours (Å) after each atom.
Space group P6_3/mmc (No. 194)
Inequivalent atoms, fractional coordinates:
Tl 0.3333 0.6667 0.2500 (multiplicity 2)  3 Cl 2.69
Zn 0.0000 0.0000 0.0000 (multiplicity 2)  6 Cl 2.85
Cl 0.0000 0.0000 0.2500 (multiplicity 2)  3 Tl 2.69
Cl 0.3333 0.6667 0.0559 (multiplicity 4)  3 Zn 2.85

Results
- size of the total moment (μB per formula unit) = 0.0
- crystal system = hexagonal

Most stable to least stable, the ends of the list are three and two.

one:
A plane-wave DFT calculation with PBE was carried out for a relaxed TlZnCl3 crystal.

Cell: 5.7733 5.7733 18.7904 Å, 90.00 90.00 90.00°
With the nearest neighbours (Å) after each atom.
Space group I-4m2 (No. 119)
Inequivalent atoms, fractional coordinates:
Tl 0.0000 0.0000 0.1065 (multiplicity 4)  8 Cl 3.33-3.71
Zn 0.0000 0.0000 0.5000 (multiplicity 2)  4 Cl 2.91
Zn 0.0000 0.5000 0.2500 (multiplicity 2)  4 Cl 2.25
Cl 0.0000 0.2401 0.3395 (multiplicity 8)  1 Zn 2.25
Cl 0.0000 0.5000 0.5176 (multiplicity 4)  2 Zn 2.91

Results
- size of the total moment (μB per formula unit) = 0.0
- crystal system = tetragonal

two:
A plane-wave DFT calculation with PBE was carried out for a relaxed TlZnCl3 crystal.

Cell: 6.6848 6.7217 6.7186 Å, 90.00 105.78 90.00°
With the nearest neighbours (Å) after each atom.
Space group P2_1/m (No. 11)
Inequivalent atoms, fractional coordinates:
Tl 0.1985 0.2500 0.3181 (multiplicity 2)  5 Cl 3.15-3.50
Zn 0.4588 0.7500 0.0831 (multiplicity 2)  5 Cl 2.27-2.47
Cl 0.2552 0.0057 0.8688 (multiplicity 4)  2 Zn 2.41-2.47
Cl 0.3509 0.7500 0.3757 (multiplicity 2)  1 Zn 2.27

Results
- size of the total moment (μB per formula unit) = 0.0
- crystal system = monoclinic

Most stable to least stable, the ends of the list are two and one.

one:
A plane-wave DFT calculation with PBE was carried out for a relaxed TlZnCl3 crystal.

Cell: 7.0452 7.0452 17.1079 Å, 90.00 90.00 120.00°
With the nearest neighbours (Å) after each atom.
Space group R3c (No. 161, hexagonal axes)
Inequivalent atoms, fractional coordinates:
Tl 0.0000 0.0000 0.0000 (multiplicity 6)  9 Cl 3.28-3.51
Zn 0.0000 0.0000 0.2494 (multiplicity 6)  6 Cl 2.49-2.50
Cl 0.0003 0.4663 0.0001 (multiplicity 18)  2 Zn 2.49-2.50

Results
- size of the total moment (μB per formula unit) = 0.0
- crystal system = trigonal

two:
A plane-wave DFT calculation with PBE was carried out for a relaxed TlZnCl3 crystal.

Cell: 3.5971 9.4444 8.7743 Å, 90.00 90.00 90.00°
With the nearest neighbours (Å) after each atom.
Space group Amm2 (No. 38)
Inequivalent atoms, fractional coordinates:
Tl 0.0000 0.0000 0.0000 (multiplicity 2)  4 Cl 2.91-3.24
Zn 0.5000 0.0000 0.5241 (multiplicity 2)  5 Cl 2.31-2.47
Cl 0.0000 0.1675 0.5908 (multiplicity 4)  2 Zn 2.47
Cl 0.5000 0.0000 0.2611 (multiplicity 2)  1 Zn 2.31

Results
- size of the total moment (μB per formula unit) = 0.0
- crystal system = orthorhombic

three:
A plane-wave DFT calculation with PBE was carried out for a relaxed TlZnCl3 crystal.

Cell: 5.3790 5.3790 5.3790 Å, 90.00 90.00 90.00°
With the nearest neighbours (Å) after each atom.
Space group Pm-3m (No. 221)
Inequivalent atoms, fractional coordinates:
Tl 0.0000 0.0000 0.0000 (multiplicity 1)  6 Cl 2.69
Zn 0.5000 0.5000 0.5000 (multiplicity 1)  12 Cl 3.80
Cl 0.0000 0.0000 0.5000 (multiplicity 3)  2 Tl 2.69

Results
- size of the total moment (μB per formula unit) = 0.5
- crystal system = cubic

Most stable to least stable, the ends of the list are one and three.